Density functional theory data (PBE-GGA) for a relaxed Li2Bi3P9O28 crystal.

## Properties
As for the uncorrected formation energy: -2.0082 eV/atom. The mass density is 3.88 Mg/m³.

CIF file:
```
data_Li2Bi3P9O28
_cell_length_a 7.080
_cell_length_b 9.735
_cell_length_c 9.958
_cell_angle_alpha 113.75
_cell_angle_beta 95.30
_cell_angle_gamma 106.57
_symmetry_space_group_name_H-M 'P -1'
_symmetry_Int_Tables_number 2
loop_
_symmetry_equiv_pos_as_xyz
'x,y,z'
'-x,-y,-z'
loop_
_atom_site_label
_atom_site_fract_x
_atom_site_fract_y
_atom_site_fract_z
Li1 0.123 0.229 0.389
Bi1 0.281 0.737 0.470
Bi2 0.500 0.500 0.000
P1 0.000 0.000 0.000
P2 0.107 0.367 0.166
P3 0.215 0.533 0.707
P4 0.293 0.975 0.240
P5 0.319 0.061 0.816
O1 0.065 0.366 0.588
O2 0.069 0.190 0.148
O3 0.106 0.939 0.116
O4 0.108 0.608 0.844
O5 0.179 0.927 0.664
O6 0.185 0.398 0.043
O7 0.228 0.469 0.330
O8 0.229 0.056 0.953
O9 0.250 0.837 0.280
O10 0.266 0.655 0.645
O11 0.347 0.141 0.372
O12 0.384 0.226 0.822
O13 0.399 0.521 0.783
O14 0.479 0.980 0.155
```